The following is a DFT calculation (PBE) of an optimized crystal structure of Pr2TmPb3.

```
Pr2TmPb3
1.0
-0.294 1.536 4.794
-7.798 0.199 2.110
0.542 -8.714 2.823
Pr Tm Pb
4 2 6
direct
0.000 0.000 0.000
0.000 0.000 0.500
0.333 0.334 0.500
0.667 0.666 0.500
0.331 0.338 0.000
0.669 0.662 0.000
0.831 0.338 0.758
0.500 0.000 0.244
0.169 0.662 0.242
0.831 0.338 0.242
0.169 0.662 0.758
0.500 0.000 0.756
```

Raw total energy: -56.0 eV/cell
Symmetry: Cmmm
ΔE_f: -2.84 eV/f.u.